14
Lattice="-3.0782 3.1909 4.2326 3.0782 -3.1909 4.2326 3.0782 3.1909 -4.2326" Properties=species:S:1:pos:R:3 comment="PBE with a Hubbard U NaCrAsO4, optimized geometry" energy_ev_per_atom=-6.25 spacegroup="Imma (74)" pbc="T T T"
Na -1.5391 1.5954 2.1163
Na 1.5391 1.5954 2.1163
Cr 0.0000 0.0000 0.0000
Cr 0.0000 3.1909 0.0000
As 3.0782 1.5954 -1.1812
As 0.0000 1.5954 5.4137
O 3.0782 3.0295 -2.1619
O 3.0782 -0.1614 2.1619
O 1.6628 1.5954 -0.1645
O 4.4935 1.5954 -0.1645
O -1.4154 1.5954 4.3971
O 1.4154 1.5954 4.3971
O 0.0000 3.3523 2.0707
O 0.0000 0.1614 6.3945